DFT (GGA-PBE) results for a geometry-optimized LaY2Ho3 structure. Values from VASP.

Properties
Space-group type: No. 63
V (Å³ per cell): 389
Total energy (eV/f.u.): -31.4
Spin magnetization (μB per formula unit): 0.0
Energy relative to the lowest polymorph listed for this composition (meV per atom): 0
ρ (g/cm3): 6.9
Energy relative to the elements (eV per atom): 0.030

Structure (Quantum ESPRESSO input):
```
&SYSTEM
  ibrav = 0, nat = 12, ntyp = 3
/
ATOMIC_SPECIES
La 138.91 La.upf
Y 88.91 Y.upf
Ho 164.93 Ho.upf
CELL_PARAMETERS angstrom
2.5293 -7.6172 0.0000
2.5293 7.6172 0.0000
0.0000 0.0000 10.1051
ATOMIC_POSITIONS crystal
La 0.1681 0.8319 0.7500
La 0.8319 0.1681 0.2500
Y 0.0000 0.0000 0.0000
Y 0.0000 0.0000 0.5000
Y 0.4979 0.5021 0.7500
Y 0.5021 0.4979 0.2500
Ho 0.1657 0.8343 0.2500
Ho 0.3330 0.6670 0.5010
Ho 0.3330 0.6670 0.9990
Ho 0.6670 0.3330 0.0010
Ho 0.6670 0.3330 0.4990
Ho 0.8343 0.1657 0.7500
```